# 1
Cr2NiW | the Alexandria database | PBE | relaxed; ΔE_f = 1.57 eV/f.u.; space-group type = R-3m; final energy = -36.413 eV per formula unit; total magnetization = 0.0 μB per cell
1.0
1.3067 0.7544 8.8270
-1.3067 0.7544 8.8270
0.0000 -1.5089 8.8270
Cr Ni W
2 1 1
Cartesian
0.0000 0.0000 6.4531
0.0000 0.0000 20.0280
0.0000 0.0000 13.2405
0.0000 0.0000 0.0000

=====

# 2
CrNiW2 | the Alexandria database | PBE | relaxed; ΔE_f = 0.71 eV/f.u.; space-group type = I4/mmm; final energy = -40.597 eV per formula unit; total magnetization = 0.0 μB per cell
1.0
-1.9743 1.9743 3.5331
1.9743 -1.9743 3.5331
1.9743 1.9743 -3.5331
Cr Ni W
1 1 2
Cartesian
0.0000 0.0000 0.0000
0.0000 0.0000 3.5331
1.9743 0.0000 1.7665
0.0000 1.9743 1.7665

=====

# 3
Zn2CrNiW | the Alexandria database | PBE | relaxed; ΔE_f = 7.04 eV/f.u.; space-group type = P4/mmm; final energy = -23.865 eV per formula unit; total magnetization = 3.7 μB per cell
1.0
4.8823 0.0000 0.0000
0.0000 4.8823 0.0000
0.0000 0.0000 4.4731
Zn Cr Ni W
2 1 1 1
Cartesian
0.0000 2.4412 0.0000
2.4412 0.0000 0.0000
0.0000 0.0000 2.2366
2.4412 2.4412 2.2366
2.4412 2.4412 0.0000

=====

# 4
YCr2Ni | the Alexandria database | PBE | relaxed; ΔE_f = 2.60 eV/f.u.; space-group type = C2/m; final energy = -28.888 eV per formula unit; total magnetization = 6.2 μB per cell
1.0
2.7400 -4.7329 0.0000
2.7400 4.7329 0.0000
-1.4274 0.0000 2.5925
Y Cr Ni
1 2 1
Cartesian
0.0000 0.0000 0.0000
0.6563 2.3664 1.2963
0.6563 -2.3664 1.2963
2.7400 0.0000 0.0000